Entry from Alexandria: a relaxed structure of Ba2Cu2Se (PBE-GGA).

```
Ba2Cu2Se
1.0
-1.938 1.938 9.198
1.938 -1.938 9.198
1.938 1.938 -9.198
Ba Cu Se
2 2 1
Direct
0.106 0.106 0.000
0.894 0.894 0.000
0.250 0.750 0.500
0.750 0.250 0.500
0.500 0.500 0.000
```

Calculated values
ΔE_f (raw) = -556 meV/atom
symmetry = No. 139
total DFT energy (no corrections) = -3.66 eV/atom
crystal system = tetragonal
Fermi-level density of states = 0.51 states/eV/f.u.